# 1
! CsIn2B2O6, relaxed, DFT PBE-GGA; values from VASP
! Energy relative to the elements, uncorrected = -1.861 eV per atom
! Crystal system = triclinic
! E_tot = -6.36 eV per atom
! Fermi-level density of states = 0.189 states/eV/atom
&SYSTEM
  ibrav = 0, nat = 11, ntyp = 4
/
ATOMIC_SPECIES
O 16.00 O.upf
Cs 132.91 Cs.upf
B 10.81 B.upf
In 114.82 In.upf
ATOMIC_POSITIONS angstrom
O 2.226 3.879 3.434
Cs 2.516 -1.188 2.076
O 6.633 2.648 4.718
O 1.286 2.277 0.476
B 5.612 1.915 0.714
O 5.693 1.046 1.759
O 3.514 2.528 5.028
In 5.036 1.602 3.699
O 4.406 2.397 0.165
In 2.883 3.324 1.494
B 2.307 3.010 4.480
CELL_PARAMETERS angstrom
5.449 0.199 -0.382
2.887 7.302 1.042
-0.416 -2.576 4.533

=====

# 2
! CeTm2CdAu4, relaxed, DFT PBE-GGA; values from VASP
! Crystal system = trigonal
! E_tot = -4.29 eV per atom
! Fermi-level density of states = 1.266 states/eV/atom
&SYSTEM
  ibrav = 0, nat = 8, ntyp = 4
/
ATOMIC_SPECIES
Tm 168.93 Tm.upf
Au 196.97 Au.upf
Cd 112.41 Cd.upf
Ce 140.12 Ce.upf
ATOMIC_POSITIONS angstrom
Tm -0.304 -0.843 3.609
Au -0.706 -3.800 4.427
Cd -0.623 -1.986 6.822
Au -1.025 -4.957 7.622
Au -0.220 0.985 6.023
Ce 0.000 0.000 0.000
Tm -0.941 -3.129 10.036
Au -0.539 -0.172 9.218
CELL_PARAMETERS angstrom
-3.023 -3.103 2.455
1.913 -3.697 2.733
-0.135 2.828 8.457

=====

# 3
! CsInHg2Se, relaxed, DFT PBE-GGA; values from VASP
! Excess energy over the best structure of this formula in the dataset = 611.6 meV/atom
! Energy relative to the elements, uncorrected = 0.259 eV per atom
! Crystal system = tetragonal
! E_tot = -1.28 eV per atom
! Fermi-level density of states = 0.602 states/eV/atom
&SYSTEM
  ibrav = 0, nat = 5, ntyp = 4
/
ATOMIC_SPECIES
Se 78.96 Se.upf
In 114.82 In.upf
Hg 200.59 Hg.upf
Cs 132.91 Cs.upf
ATOMIC_POSITIONS angstrom
Se 0.000 3.218 0.000
In 3.352 3.218 3.352
Hg 0.000 0.000 3.352
Cs 0.000 0.000 0.000
Hg 3.352 0.000 0.000
CELL_PARAMETERS angstrom
6.705 0.000 0.000
0.000 6.437 0.000
0.000 0.000 6.705